# 1
# Ce2MgTl3 | the Alexandria database | GGA-PBE | relaxed
data_Ce2MgTl3
_chemical_formula_sum 'Ce4 Mg2 Tl6'
_cell_length_a 15.261
_cell_length_b 15.261
_cell_length_c 6.535
_cell_angle_alpha 90.00
_cell_angle_beta 90.00
_cell_angle_gamma 167.18
_space_group_name_H-M_alt 'P 1'
_space_group_IT_number 1
loop_
_space_group_symop_operation_xyz
'x,y,z'
loop_
_atom_site_label
_atom_site_type_symbol
_atom_site_fract_x
_atom_site_fract_y
_atom_site_fract_z
_atom_site_occupancy
Ce1 Ce 0.000 0.000 0.250 1
Ce2 Ce 0.000 0.000 0.750 1
Ce3 Ce 0.162 0.838 0.750 1
Ce4 Ce 0.838 0.162 0.250 1
Mg1 Mg 0.338 0.662 0.750 1
Mg2 Mg 0.662 0.338 0.250 1
Tl1 Tl 0.243 0.757 0.250 1
Tl2 Tl 0.419 0.581 0.002 1
Tl3 Tl 0.419 0.581 0.498 1
Tl4 Tl 0.581 0.419 0.502 1
Tl5 Tl 0.581 0.419 0.998 1
Tl6 Tl 0.757 0.243 0.750 1
# - Offset from the most stable computed form: 64 meV/atom
# - Formation enthalpy at 0 K: -0.13 eV/atom

***

# 2
# Ce2Mg3Tl2 | the Alexandria database | GGA-PBE | relaxed
data_Ce2Mg3Tl2
_chemical_formula_sum 'Ce2 Mg3 Tl2'
_cell_length_a 11.733
_cell_length_b 11.733
_cell_length_c 3.277
_cell_angle_alpha 90.00
_cell_angle_beta 90.00
_cell_angle_gamma 155.21
_space_group_name_H-M_alt 'P 1'
_space_group_IT_number 1
loop_
_space_group_symop_operation_xyz
'x,y,z'
loop_
_atom_site_label
_atom_site_type_symbol
_atom_site_fract_x
_atom_site_fract_y
_atom_site_fract_z
_atom_site_occupancy
Ce1 Ce 0.150 0.850 0.000 1
Ce2 Ce 0.850 0.150 0.000 1
Mg1 Mg 0.000 0.000 0.000 1
Mg2 Mg 0.432 0.568 0.500 1
Mg3 Mg 0.568 0.432 0.500 1
Tl1 Tl 0.290 0.710 0.500 1
Tl2 Tl 0.710 0.290 0.500 1
# - Formation enthalpy at 0 K: -0.04 eV/atom

***

# 3
# Ce5MgTl3 | the Alexandria database | GGA-PBE | relaxed
data_Ce5MgTl3
_chemical_formula_sum 'Ce10 Mg2 Tl6'
_cell_length_a 9.493
_cell_length_b 9.493
_cell_length_c 6.647
_cell_angle_alpha 90.00
_cell_angle_beta 90.00
_cell_angle_gamma 120.00
_space_group_name_H-M_alt 'P 1'
_space_group_IT_number 1
loop_
_space_group_symop_operation_xyz
'x,y,z'
loop_
_atom_site_label
_atom_site_type_symbol
_atom_site_fract_x
_atom_site_fract_y
_atom_site_fract_z
_atom_site_occupancy
Ce1 Ce 0.000 0.328 0.250 1
Ce2 Ce 0.000 0.672 0.750 1
Ce3 Ce 0.328 0.000 0.250 1
Ce4 Ce 0.328 0.328 0.750 1
Ce5 Ce 0.333 0.667 0.000 1
Ce6 Ce 0.333 0.667 0.500 1
Ce7 Ce 0.667 0.333 0.000 1
Ce8 Ce 0.667 0.333 0.500 1
Ce9 Ce 0.672 0.000 0.750 1
Ce10 Ce 0.672 0.672 0.250 1
Mg1 Mg 0.000 0.000 0.000 1
Mg2 Mg 0.000 0.000 0.500 1
Tl1 Tl 0.000 0.335 0.750 1
Tl2 Tl 0.000 0.665 0.250 1
Tl3 Tl 0.335 0.000 0.750 1
Tl4 Tl 0.335 0.335 0.250 1
Tl5 Tl 0.665 0.000 0.250 1
Tl6 Tl 0.665 0.665 0.750 1
# - Formation enthalpy at 0 K: -0.16 eV/atom

***

# 4
# Ce3MgTl2 | the Alexandria database | GGA-PBE | relaxed
data_Ce3MgTl2
_chemical_formula_sum 'Ce6 Mg2 Tl4'
_cell_length_a 7.417
_cell_length_b 7.417
_cell_length_c 6.316
_cell_angle_alpha 99.46
_cell_angle_beta 99.46
_cell_angle_gamma 96.14
_space_group_name_H-M_alt 'P 1'
_space_group_IT_number 1
loop_
_space_group_symop_operation_xyz
'x,y,z'
loop_
_atom_site_label
_atom_site_type_symbol
_atom_site_fract_x
_atom_site_fract_y
_atom_site_fract_z
_atom_site_occupancy
Ce1 Ce 0.159 0.184 0.430 1
Ce2 Ce 0.184 0.159 0.930 1
Ce3 Ce 0.200 0.800 0.750 1
Ce4 Ce 0.800 0.200 0.250 1
Ce5 Ce 0.816 0.841 0.070 1
Ce6 Ce 0.841 0.816 0.570 1
Mg1 Mg 0.493 0.507 0.250 1
Mg2 Mg 0.507 0.493 0.750 1
Tl1 Tl 0.100 0.567 0.246 1
Tl2 Tl 0.433 0.900 0.254 1
Tl3 Tl 0.567 0.100 0.746 1
Tl4 Tl 0.900 0.433 0.754 1
# - Offset from the most stable computed form: 123 meV/atom
# - Formation enthalpy at 0 K: -0.04 eV/atom